Material: CaLaW2Se
Method: DFT, GGA-PBEsol
State: relaxed

Properties
- uncorrected formation energy (eV per atom) = 2.130
- volume (Å³ per cell) = 128.0
- total magnetization (μB/f.u.) = 0.0
- N(E_F) (states/eV per atom) = 1.12

a = 4.816 Å, b = 4.816 Å, c = 5.519 Å
α = 90.00°, β = 90.00°, γ = 90.00°
Positions (direct):
Ca 0.000 0.000 0.500
Se 0.500 0.500 0.500
W 0.000 0.500 0.000
W 0.500 0.000 0.000
La 0.000 0.000 0.000

Material: Ca3LaSi8
Method: DFT, GGA-PBEsol
State: relaxed

Properties
- uncorrected formation energy (eV per atom) = -0.505
- volume (Å³ per cell) = 244.7
- total magnetization (μB/f.u.) = 0.0
- N(E_F) (states/eV per atom) = 0.23

a = 4.269 Å, b = 4.269 Å, c = 13.425 Å
α = 90.00°, β = 90.00°, γ = 90.00°
Positions (direct):
Ca 0.000 0.000 0.500
Ca 0.500 0.000 0.747
Ca 0.000 0.500 0.253
La 0.500 0.500 0.000
Si 0.000 0.000 0.914
Si 0.500 0.500 0.415
Si 0.000 0.500 0.834
Si 0.500 0.000 0.337
Si 0.000 0.000 0.086
Si 0.500 0.500 0.585
Si 0.500 0.000 0.166
Si 0.000 0.500 0.663

Repeat the second record exactly.
Material: Ca3LaSi8
Method: DFT, GGA-PBEsol
State: relaxed

Properties
- uncorrected formation energy (eV per atom) = -0.505
- volume (Å³ per cell) = 244.7
- total magnetization (μB/f.u.) = 0.0
- N(E_F) (states/eV per atom) = 0.23

a = 4.269 Å, b = 4.269 Å, c = 13.425 Å
α = 90.00°, β = 90.00°, γ = 90.00°
Positions (direct):
Ca 0.000 0.000 0.500
Ca 0.500 0.000 0.747
Ca 0.000 0.500 0.253
La 0.500 0.500 0.000
Si 0.000 0.000 0.914
Si 0.500 0.500 0.415
Si 0.000 0.500 0.834
Si 0.500 0.000 0.337
Si 0.000 0.000 0.086
Si 0.500 0.500 0.585
Si 0.500 0.000 0.166
Si 0.000 0.500 0.663

Which of these has the highest volume?
Ca3LaSi8

Which value of volume does entry 1 give?
128.0 Å³ per cell